1.
Below is a geometry-optimized Zr3BiI structure, with properties calculated at the PBE-GGA level.

SG = No. 221

Geometry as extended XYZ:
```
5
Lattice="5.526 0.000 0.000 0.000 5.526 0.000 0.000 0.000 5.526" Properties=species:S:1:pos:R:3 pbc="T T T"
Zr 2.763 0.000 0.000
Zr 0.000 0.000 2.763
Zr 0.000 2.763 0.000
I 2.763 2.763 2.763
Bi 0.000 0.000 0.000
```

2.
Below is a geometry-optimized ZrBiI6 structure, with properties calculated at the PBE-GGA level.

SG = No. 148

Geometry as extended XYZ:
```
8
Lattice="7.546 0.010 0.008 3.766 6.539 0.013 3.763 2.174 6.810" Properties=species:S:1:pos:R:3 pbc="T T T"
I 10.191 4.436 1.660
I 8.924 2.100 5.174
I 6.151 6.623 1.657
I 6.277 2.032 1.652
I 4.884 4.287 5.171
I 8.798 6.691 5.179
Zr 0.000 0.000 0.000
Bi 7.537 4.361 3.415
```

no.,E_form (uncorrected) (eV per formula unit)
1,5.3
2,-4.7